No. 1
A relaxed ZrNb crystal, computed with PBE-GGA.

Unit cell a=5.763 b=5.646 c=5.078 alpha=90.00 beta=90.00 gamma=90.00
Space group Pbcm (No. 57)
Unique sites:
1 Zr 0.131 0.114 0.250 [4 per cell]
2 Nb 0.382 0.619 0.250 [4 per cell]

Values from the calculation:
Final energy: -0.6715 Ry/atom
Magnetization: 0.0 μB per cell
Energy relative to the elements: 0.184 eV/atom

No. 2
A relaxed ZnH8O4F2 crystal, computed with PBE-GGA.

Unit cell a=12.331 b=5.116 c=7.269 alpha=90.00 beta=90.00 gamma=90.00
Space group Pca2_1 (No. 29)
Unique sites:
1 Zn 0.124 0.193 0.000 [4 per cell]
2 H 0.017 0.482 0.242 [4 per cell]
3 H 0.079 0.944 0.390 [4 per cell]
4 H 0.080 0.950 0.611 [4 per cell]
5 H 0.124 0.636 0.186 [4 per cell]
6 H 0.135 0.735 0.822 [4 per cell]
7 H 0.171 0.372 0.391 [4 per cell]
8 H 0.173 0.376 0.610 [4 per cell]
9 H 0.234 0.922 0.761 [4 per cell]
10 O 0.032 0.954 0.500 [4 per cell]
11 O 0.096 0.454 0.209 [4 per cell]
12 O 0.155 0.922 0.799 [4 per cell]
13 O 0.219 0.347 0.501 [4 per cell]
14 F 0.097 0.454 0.788 [4 per cell]
15 F 0.153 0.922 0.206 [4 per cell]

Values from the calculation:
Final energy: -0.3489 Ry/atom

No. 3
A relaxed PaOsPt crystal, computed with PBE-GGA.

Unit cell a=6.393 b=6.393 c=6.393 alpha=90.00 beta=90.00 gamma=90.00
Space group F-43m (No. 216)
Unique sites:
1 Pa 0.000 0.000 0.000 [4 per cell]
2 Os 0.250 0.250 0.250 [4 per cell]
3 Pt 0.000 0.000 0.500 [4 per cell]

Values from the calculation:
Final energy: -0.6618 Ry/atom
ΔE to the lowest computed polymorph: 0.0000 eV/atom
Magnetization: 0.4 μB per cell
Energy relative to the elements: -0.079 eV/atom

No. 4
A relaxed Ho2TmSc3NiTe2 crystal, computed with PBE-GGA.

Unit cell a=3.912 b=13.843 c=7.940 alpha=90.00 beta=90.00 gamma=90.00
Space group Amm2 (No. 38)
Unique sites:
1 Ho 0.000 0.196 0.000 [4 per cell]
2 Tm 0.000 0.000 0.416 [2 per cell]
3 Sc 0.500 0.000 0.034 [2 per cell]
4 Sc 0.500 0.117 0.689 [4 per cell]
5 Ni 0.000 0.000 0.789 [2 per cell]
6 Te 0.500 0.166 0.304 [4 per cell]

Values from the calculation:
Final energy: -0.4161 Ry/atom
Magnetization: 0.6 μB per cell